Entry 1:
# SCAN TcRu2Au, PBEsol geometry
data_TcRu2Au
_chemical_formula_sum 'Tc2 Ru4 Au2'
_symmetry_space_group_name_H-M 'I -4 m 2'
_symmetry_Int_Tables_number 119
_symmetry_space_group_name_Hall 'I -4 -2'
_cell_length_a 3.794
_cell_length_b 3.794
_cell_length_c 7.887
_cell_angle_alpha 90.00
_cell_angle_beta 90.00
_cell_angle_gamma 90.00
loop_
_atom_site_label
_atom_site_type_symbol
_atom_site_fract_x
_atom_site_fract_y
_atom_site_fract_z
_atom_site_occupancy
Tc1 Tc 0.000 0.000 0.000 1
Ru1 Ru 0.000 0.000 0.500 1
Ru2 Ru 0.000 0.500 0.750 1
Au1 Au 0.000 0.500 0.250 1
# - Offset from the most stable computed form: 28 kJ/mol of formula units
# - DFT formation energy: 29 kJ/mol of atoms
# - E_tot: -43.168 eV per atom

Entry 2:
# SCAN TcRu2Au, PBEsol geometry
data_TcRu2Au
_chemical_formula_sum 'Tc4 Ru8 Au4'
_symmetry_space_group_name_H-M 'F -4 3 m'
_symmetry_Int_Tables_number 216
_symmetry_space_group_name_Hall 'F -4 2 3'
_cell_length_a 6.164
_cell_length_b 6.164
_cell_length_c 6.164
_cell_angle_alpha 90.00
_cell_angle_beta 90.00
_cell_angle_gamma 90.00
loop_
_atom_site_label
_atom_site_type_symbol
_atom_site_fract_x
_atom_site_fract_y
_atom_site_fract_z
_atom_site_occupancy
Tc1 Tc 0.000 0.000 0.000 1
Ru1 Ru 0.000 0.000 0.500 1
Ru2 Ru 0.250 0.250 0.750 1
Au1 Au 0.250 0.250 0.250 1
# - Offset from the most stable computed form: 136 kJ/mol of formula units
# - DFT formation energy: 56 kJ/mol of atoms
# - E_tot: -42.888 eV per atom

Entry 3:
# SCAN TcRu2Au, PBEsol geometry
data_TcRu2Au
_chemical_formula_sum 'Tc2 Ru4 Au2'
_symmetry_space_group_name_H-M 'I 4/m m m'
_symmetry_Int_Tables_number 139
_symmetry_space_group_name_Hall '-I 4 2'
_cell_length_a 3.864
_cell_length_b 3.864
_cell_length_c 7.605
_cell_angle_alpha 90.00
_cell_angle_beta 90.00
_cell_angle_gamma 90.00
loop_
_atom_site_label
_atom_site_type_symbol
_atom_site_fract_x
_atom_site_fract_y
_atom_site_fract_z
_atom_site_occupancy
Tc1 Tc 0.000 0.000 0.000 1
Ru1 Ru 0.000 0.500 0.250 1
Au1 Au 0.000 0.000 0.500 1
# - Offset from the most stable computed form: 15 kJ/mol of formula units
# - DFT formation energy: 26 kJ/mol of atoms
# - E_tot: -43.201 eV per atom

Entry 4:
# SCAN TcRu2Au, PBEsol geometry
data_TcRu2Au
_chemical_formula_sum 'Tc2 Ru4 Au2'
_symmetry_space_group_name_H-M 'C 1 2/m 1'
_symmetry_Int_Tables_number 12
_cell_length_a 5.463
_cell_length_b 9.085
_cell_length_c 2.658
_cell_angle_alpha 90.00
_cell_angle_beta 118.32
_cell_angle_gamma 90.00
loop_
_symmetry_equiv_pos_as_xyz
'x,y,z'
'-x,-y,-z'
'-x,y,-z'
'x,-y,z'
'x+1/2,y+1/2,z'
'-x+1/2,-y+1/2,-z'
'-x+1/2,y+1/2,-z'
'x+1/2,-y+1/2,z'
loop_
_atom_site_label
_atom_site_type_symbol
_atom_site_fract_x
_atom_site_fract_y
_atom_site_fract_z
_atom_site_occupancy
Tc1 Tc 0.000 0.000 0.000 1
Ru1 Ru 0.250 0.250 0.500 1
Au1 Au 0.000 0.500 0.000 1
# - Offset from the most stable computed form: 127 kJ/mol of formula units
# - DFT formation energy: 54 kJ/mol of atoms
# - E_tot: -42.910 eV per atom

Entry 5:
# SCAN Te2RuAu, PBEsol geometry
data_Te2RuAu
_chemical_formula_sum 'Te2 Ru1 Au1'
_symmetry_space_group_name_H-M 'P 1 2/m 1'
_symmetry_Int_Tables_number 10
_cell_length_a 3.898
_cell_length_b 3.907
_cell_length_c 5.560
_cell_angle_alpha 90.00
_cell_angle_beta 90.21
_cell_angle_gamma 90.00
loop_
_symmetry_equiv_pos_as_xyz
'x,y,z'
'-x,-y,-z'
'-x,y,-z'
'x,-y,z'
loop_
_atom_site_label
_atom_site_type_symbol
_atom_site_fract_x
_atom_site_fract_y
_atom_site_fract_z
_atom_site_occupancy
Te1 Te 0.000 0.000 0.000 1
Te2 Te 0.500 0.500 0.500 1
Ru1 Ru 0.000 0.000 0.500 1
Au1 Au 0.500 0.500 0.000 1
# - Offset from the most stable computed form: 54 kJ/mol of formula units
# - E_tot: -44.446 eV per atom

Entry 6:
# SCAN Te2RuAu, PBEsol geometry
data_Te2RuAu
_chemical_formula_sum 'Te2 Ru1 Au1'
_symmetry_space_group_name_H-M 'P 4/m m m'
_symmetry_Int_Tables_number 123
_symmetry_space_group_name_Hall '-P 4 2'
_cell_length_a 4.788
_cell_length_b 4.788
_cell_length_c 3.409
_cell_angle_alpha 90.00
_cell_angle_beta 90.00
_cell_angle_gamma 90.00
loop_
_atom_site_label
_atom_site_type_symbol
_atom_site_fract_x
_atom_site_fract_y
_atom_site_fract_z
_atom_site_occupancy
Te1 Te 0.000 0.500 0.000 1
Ru1 Ru 0.000 0.000 0.500 1
Au1 Au 0.500 0.500 0.500 1
# - Offset from the most stable computed form: 177 kJ/mol of formula units
# - E_tot: -44.130 eV per atom

no.,M_tot (μB/cell),volume (Å³ per cell)
1,0.00,113.5
2,9.00,234.2
3,0.00,113.6
4,0.01,116.1
5,0.00,84.7
6,0.00,78.2